Entry from Alexandria: crystalline LaCuHg at its relaxed geometry (PBE-GGA).

POSCAR file:
```
LaCuHg
1.0
-0.9744 -4.2069 -2.5820
2.7918 -4.1174 0.7529
-1.9799 -3.9881 2.3430
Cu Hg La
1 1 1
direct
0.0000 0.0000 0.0000
0.5000 0.5000 0.5000
0.7500 0.7500 0.7500
```

Computed properties:
Energy of formation from the pure elements (eV/atom): 0.124
Density (g/cm3): 7.4
Symmetry: No. 216
Raw total energy (eV per atom): -2.9841